Ho4Tm3Al4 after structural relaxation. Source: the Alexandria database, functional PBE-GGA.

Cell lengths 5.0964, 6.6280, 9.4461 Å; angles 110.54, 105.65, 90.00 degrees
Fractional positions:
1 Ho 0.3199 0.0819 0.6397
2 Ho 0.6801 0.4422 0.3603
3 Ho 0.6801 0.9181 0.3603
4 Ho 0.3199 0.5578 0.6397
5 Tm 0.0979 0.0979 0.1957
6 Tm 0.9021 0.9021 0.8043
7 Tm 0.0000 0.5000 0.0000
8 Al 0.1711 0.6711 0.3422
9 Al 0.8289 0.3289 0.6578
10 Al 0.5000 0.7932 0.0000
11 Al 0.5000 0.2068 0.0000

* crystal system: orthorhombic
* E_form: -0.167 eV/atom
* symmetry: Immm, No. 71